Record 1
Compound: Ga2Hg2Pb3
Source: OQMD via LeMat-Bulk
Functional: PBE
Structure: relaxed

Its electronic total energy is -2.4160 eV per atom.

Lattice parameters (Å, degrees): 8.966 8.966 8.966 34.08 34.08 34.08
Element x y z (fractional)
Ga: 0.244 0.244 0.244
Ga: 0.754 0.754 0.754
Hg: 0.012 0.012 0.012
Hg: 0.493 0.493 0.493
Pb: 0.373 0.373 0.373
Pb: 0.623 0.623 0.623
Pb: 0.876 0.876 0.876

---

Record 2
Compound: DyYPbC
Source: OQMD via LeMat-Bulk
Functional: PBE
Structure: relaxed

Its electronic total energy is -6.4986 eV per atom.

Lattice parameters (Å, degrees): 3.641 3.641 16.144 90.00 90.00 120.00
Element x y z (fractional)
C: 0.000 0.000 0.000
C: 0.000 0.000 0.500
Dy: 0.333 0.667 0.083
Dy: 0.667 0.333 0.917
Pb: 0.667 0.333 0.250
Pb: 0.333 0.667 0.750
Y: 0.333 0.667 0.417
Y: 0.667 0.333 0.583

---

Record 3
Compound: Ba2InOsN6
Source: OQMD via LeMat-Bulk
Functional: PBE
Structure: relaxed

Its offset from the most stable computed form is 70.5 meV per atom.

Lattice parameters (Å, degrees): 5.910 5.910 5.910 120.04 120.04 89.94
Element x y z (fractional)
Ba: 0.750 0.250 0.500
Ba: 0.250 0.750 0.500
In: 0.500 0.500 0.000
N: 0.233 0.233 0.000
N: 0.767 0.233 0.000
N: 0.233 0.767 0.000
N: 0.767 0.767 0.000
N: 0.233 0.233 0.467
N: 0.767 0.767 0.533
Os: 0.000 0.000 0.000

---

Record 4
Compound: HfTaGaCu
Source: OQMD via LeMat-Bulk
Functional: PBE
Structure: relaxed

Its offset from the most stable computed form is 0.0 meV per atom.

Lattice parameters (Å, degrees): 4.600 4.600 4.600 60.00 60.00 60.00
Element x y z (fractional)
Cu: 0.750 0.750 0.750
Ga: 0.000 0.000 0.000
Hf: 0.500 0.500 0.500
Ta: 0.250 0.250 0.250

---

Record 5
Compound: Zn2SO
Source: OQMD via LeMat-Bulk
Functional: PBE
Structure: relaxed

Its offset from the most stable computed form is 0.0 meV per atom.

Lattice parameters (Å, degrees): 6.112 6.112 6.112 131.81 131.81 70.53
Element x y z (fractional)
O: 0.000 0.000 0.000
O: 0.750 0.250 0.500
S: 0.500 0.500 0.000
S: 0.250 0.750 0.500
Zn: 0.375 0.929 0.054
Zn: 0.071 0.125 0.446
Zn: 0.679 0.625 0.554
Zn: 0.875 0.321 0.946

---

Record 6
Compound: DyNbNO
Source: OQMD via LeMat-Bulk
Functional: PBE
Structure: relaxed

Its offset from the most stable computed form is 269.4 meV per atom.

Lattice parameters (Å, degrees): 3.323 6.115 6.090 90.00 90.00 90.00
Element x y z (fractional)
Dy: 0.500 0.012 0.180
Dy: 0.500 0.512 0.820
N: 0.000 0.846 0.386
N: 0.000 0.346 0.614
Nb: 0.000 0.530 0.337
Nb: 0.000 0.030 0.663
O: 0.500 0.367 0.154
O: 0.500 0.867 0.846

---

Record 7
Compound: BiAuNO
Source: OQMD via LeMat-Bulk
Functional: PBE
Structure: relaxed

Its offset from the most stable computed form is 0.0 meV per atom.

Lattice parameters (Å, degrees): 4.356 5.317 7.282 90.00 90.00 90.00
Element x y z (fractional)
Au: 0.000 0.627 0.493
Au: 0.000 0.127 0.507
Bi: 0.500 0.926 0.172
Bi: 0.500 0.426 0.828
N: 0.000 0.885 0.284
N: 0.000 0.385 0.716
O: 0.500 0.316 0.106
O: 0.500 0.816 0.894

---

Record 8
Compound: HfPbO3
Source: OQMD via LeMat-Bulk
Functional: PBE
Structure: relaxed

Its electronic total energy is -8.2751 eV per atom.

Lattice parameters (Å, degrees): 5.831 11.695 8.168 90.00 90.00 90.00
Element x y z (fractional)
Hf: 0.244 0.125 0.255
Hf: 0.744 0.375 0.255
Hf: 0.256 0.625 0.255
Hf: 0.756 0.875 0.255
Hf: 0.245 0.125 0.756
Hf: 0.745 0.375 0.756
Hf: 0.255 0.625 0.756
Hf: 0.755 0.875 0.756
O: 0.267 0.156 0.006
O: 0.767 0.344 0.006
O: 0.233 0.656 0.006
O: 0.733 0.844 0.006
O: 0.500 0.000 0.214
O: 0.000 0.500 0.214
O: 0.000 0.000 0.234
O: 0.500 0.500 0.234
O: 0.522 0.242 0.288
O: 0.022 0.258 0.288
O: 0.978 0.742 0.288
O: 0.478 0.758 0.288
O: 0.289 0.095 0.506
O: 0.789 0.405 0.506
O: 0.211 0.595 0.506
O: 0.711 0.905 0.506
O: 0.526 0.240 0.726
O: 0.026 0.260 0.726
O: 0.974 0.740 0.726
O: 0.474 0.760 0.726
O: 0.000 0.000 0.780
O: 0.500 0.500 0.780
O: 0.500 0.000 0.800
O: 0.000 0.500 0.800
Pb: 0.715 0.123 0.005
Pb: 0.215 0.377 0.005
Pb: 0.785 0.623 0.005
Pb: 0.285 0.877 0.005
Pb: 0.718 0.129 0.504
Pb: 0.218 0.371 0.504
Pb: 0.782 0.629 0.504
Pb: 0.282 0.871 0.504

---

Record 9
Compound: Tb12TlCo6
Source: OQMD via LeMat-Bulk
Functional: PBE
Structure: relaxed

Its electronic total energy is -5.5172 eV per atom.

Lattice parameters (Å, degrees): 8.391 8.391 8.391 109.47 109.47 109.47
Element x y z (fractional)
Co: 0.500 0.613 0.113
Co: 0.887 0.500 0.387
Co: 0.613 0.113 0.500
Co: 0.387 0.887 0.500
Co: 0.113 0.500 0.613
Co: 0.500 0.387 0.887
Tb: 0.304 0.806 0.110
Tb: 0.497 0.304 0.194
Tb: 0.890 0.696 0.194
Tb: 0.806 0.110 0.304
Tb: 0.194 0.497 0.304
Tb: 0.304 0.194 0.497
Tb: 0.696 0.806 0.503
Tb: 0.194 0.890 0.696
Tb: 0.806 0.503 0.696
Tb: 0.110 0.304 0.806
Tb: 0.503 0.696 0.806
Tb: 0.696 0.194 0.890
Tl: 0.000 0.000 0.000

---

Record 10
Compound: MgFeSe2
Source: OQMD via LeMat-Bulk
Functional: PBE
Structure: relaxed

Its electronic total energy is -4.7800 eV per atom.

Lattice parameters (Å, degrees): 4.144 4.144 6.681 90.00 90.00 120.00
Element x y z (fractional)
Fe: 0.000 0.000 0.995
Mg: 0.333 0.667 0.501
Se: 0.000 0.000 0.365
Se: 0.333 0.667 0.889

---

Record 11
Compound: Sr2CdSbP
Source: OQMD via LeMat-Bulk
Functional: PBE
Structure: relaxed

Its offset from the most stable computed form is 0.0 meV per atom.

Lattice parameters (Å, degrees): 8.752 8.752 7.990 90.00 90.00 150.04
Element x y z (fractional)
Cd: 0.402 0.598 0.420
Cd: 0.598 0.402 0.920
P: 0.174 0.826 0.006
P: 0.826 0.174 0.506
Sb: 0.429 0.571 0.050
Sb: 0.571 0.429 0.550
Sr: 0.783 0.217 0.136
Sr: 0.040 0.960 0.253
Sr: 0.217 0.783 0.636
Sr: 0.960 0.040 0.753

---

Record 12
Compound: TlNiGeTe3
Source: OQMD via LeMat-Bulk
Functional: PBE
Structure: relaxed

Its electronic total energy is -3.7832 eV per atom.

Lattice parameters (Å, degrees): 8.668 3.929 10.495 90.00 108.18 90.00
Element x y z (fractional)
Ge: 0.118 0.750 0.046
Ge: 0.882 0.250 0.954
Ni: 0.363 0.250 0.345
Ni: 0.637 0.750 0.655
Te: 0.353 0.250 0.088
Te: 0.144 0.750 0.311
Te: 0.575 0.750 0.398
Te: 0.425 0.250 0.602
Te: 0.856 0.250 0.689
Te: 0.647 0.750 0.912
Tl: 0.784 0.250 0.234
Tl: 0.216 0.750 0.766

---

Record 13
Compound: Ta2SnB2
Source: OQMD via LeMat-Bulk
Functional: PBE
Structure: relaxed

Its electronic total energy is -8.4910 eV per atom.

Lattice parameters (Å, degrees): 7.495 7.495 3.165 90.00 90.00 156.78
Element x y z (fractional)
B: 0.779 0.221 0.000
B: 0.221 0.779 0.000
Sn: 0.000 0.000 0.000
Ta: 0.657 0.343 0.500
Ta: 0.343 0.657 0.500

---

Record 14
Compound: AcLaZn
Source: OQMD via LeMat-Bulk
Functional: PBE
Structure: relaxed

Its offset from the most stable computed form is 925.3 meV per atom. The calculation puts the calculated formation energy at 0.94 eV/atom.

Lattice parameters (Å, degrees): 4.768 4.768 6.192 90.00 90.00 90.00
Element x y z (fractional)
Ac: 0.000 0.000 0.000
La: 0.500 0.500 0.000
Zn: 0.000 0.000 0.500

---

Record 15
Compound: Sc2ZnAu
Source: OQMD via LeMat-Bulk
Functional: PBE
Structure: relaxed

The calculation puts the calculated formation energy at -0.19 eV/atom.

Lattice parameters (Å, degrees): 4.265 4.265 11.426 90.00 90.00 120.00
Element x y z (fractional)
Au: 0.000 0.000 0.000
Au: 0.000 0.000 0.500
Sc: 0.667 0.333 0.111
Sc: 0.667 0.333 0.389
Sc: 0.333 0.667 0.611
Sc: 0.333 0.667 0.889
Zn: 0.333 0.667 0.250
Zn: 0.667 0.333 0.750

---

Record 16
Compound: Ge3Mo2W4C3
Source: OQMD via LeMat-Bulk
Functional: PBE
Structure: relaxed

Its electronic total energy is -9.5096 eV per atom.

Lattice parameters (Å, degrees): 5.469 5.469 12.950 102.06 102.06 59.92
Element x y z (fractional)
C: 0.000 0.500 0.000
C: 0.669 0.161 0.000
C: 0.839 0.331 0.500
C: 0.500 0.000 0.500
C: 0.161 0.669 0.500
C: 0.331 0.839 0.000
Ge: 0.416 0.245 0.250
Ge: 0.077 0.923 0.250
Ge: 0.755 0.584 0.250
Ge: 0.245 0.416 0.750
Ge: 0.923 0.077 0.750
Ge: 0.584 0.755 0.750
Mo: 0.372 0.532 0.093
Mo: 0.468 0.628 0.407
Mo: 0.532 0.372 0.593
Mo: 0.628 0.468 0.907
W: 0.020 0.203 0.088
W: 0.697 0.854 0.088
W: 0.146 0.303 0.412
W: 0.797 0.980 0.412
W: 0.203 0.020 0.588
W: 0.854 0.697 0.588
W: 0.303 0.146 0.912
W: 0.980 0.797 0.912

---

Record 17
Compound: HoAgBiSb
Source: OQMD via LeMat-Bulk
Functional: PBE
Structure: relaxed

Its offset from the most stable computed form is 32.5 meV per atom.

Lattice parameters (Å, degrees): 4.404 4.404 10.343 90.00 90.00 90.00
Element x y z (fractional)
Ag: 0.000 0.000 0.000
Ag: 0.500 0.500 0.000
Bi: 0.500 0.000 0.194
Bi: 0.000 0.500 0.806
Ho: 0.000 0.500 0.266
Ho: 0.500 0.000 0.734
Sb: 0.000 0.000 0.500
Sb: 0.500 0.500 0.500

---

Record 18
Compound: Nb2CoPb
Source: OQMD via LeMat-Bulk
Functional: PBE
Structure: relaxed

Its electronic total energy is -7.2789 eV per atom.

Lattice parameters (Å, degrees): 4.652 4.652 4.652 60.00 60.00 60.00
Element x y z (fractional)
Co: 0.250 0.250 0.250
Nb: 0.000 0.000 0.000
Nb: 0.750 0.750 0.750
Pb: 0.500 0.500 0.500

---

Record 19
Compound: ZrCo2B
Source: OQMD via LeMat-Bulk
Functional: PBE
Structure: relaxed

Its electronic total energy is -7.7235 eV per atom.

Lattice parameters (Å, degrees): 4.975 3.619 5.400 90.00 90.01 90.00
Element x y z (fractional)
B: 0.750 0.250 0.167
B: 0.250 0.750 0.833
Co: 0.980 0.750 0.140
Co: 0.519 0.750 0.140
Co: 0.481 0.250 0.860
Co: 0.020 0.250 0.860
Zr: 0.250 0.250 0.390
Zr: 0.750 0.750 0.610

---

Record 20
Compound: FeNiB2
Source: OQMD via LeMat-Bulk
Functional: PBE
Structure: relaxed

Its offset from the most stable computed form is 955.8 meV per atom.

Lattice parameters (Å, degrees): 3.624 3.624 3.624 60.00 60.00 60.00
Element x y z (fractional)
B: 0.500 0.500 0.500
B: 0.750 0.750 0.750
Fe: 0.250 0.250 0.250
Ni: 0.000 0.000 0.000

---

| no. | mass density (g/cm3) |
| --- | --- |
| 1 | 9.57 |
| 2 | 8.43 |
| 3 | 7.56 |
| 4 | 11.88 |
| 5 | 4.78 |
| 6 | 7.66 |
| 7 | 8.59 |
| 8 | 10.34 |
| 9 | 9.00 |
| 10 | 3.98 |
| 11 | 4.79 |
| 12 | 7.03 |
| 13 | 11.90 |
| 14 | 5.09 |
| 15 | 6.50 |
| 16 | 12.06 |
| 17 | 9.99 |
| 18 | 10.55 |
| 19 | 7.51 |
| 20 | 6.72 |